(1)
{
  "formula": "BaTlBrO2",
  "functional": "PBE-GGA",
  "state": "relaxed",
  "lattice": [[2.249, -6.290, 0.000], [2.249, 6.290, 0.000], [0.000, 0.000, 8.150]],
  "species": ["Ba", "Ba", "Tl", "Tl", "Br", "Br", "O", "O", "O", "O"],
  "frac_coords": [[0.221, 0.779, 0.750], [0.779, 0.221, 0.250], [0.500, 0.500, 0.000], [0.500, 0.500, 0.500], [0.058, 0.942, 0.250], [0.942, 0.058, 0.750], [0.344, 0.656, 0.051], [0.344, 0.656, 0.449], [0.656, 0.344, 0.551], [0.656, 0.344, 0.949]],
  "sg": "Cmcm (63)",
  "formation_energy_uncorrected_ev_per_atom": -1.508
}

(2)
{
  "formula": "CaPbW2",
  "functional": "PBE-GGA",
  "state": "relaxed",
  "lattice": [[3.327, 0.000, 0.000], [0.000, 3.338, 0.000], [0.000, 0.000, 8.150]],
  "species": ["Ca", "Pb", "W", "W"],
  "frac_coords": [[0.000, 0.000, 0.000], [0.500, 0.500, 0.319], [0.000, 0.000, 0.581], [0.500, 0.500, 0.724]],
  "sg": "Pmm2 (25)",
  "ef_ev_per_atom": 0.399
}

| no. | size of the total moment (μB per atom) | D(E_F) (states/eV per cell) |
| --- | --- | --- |
| 1 | 0.000 | 0.0 |
| 2 | 0.000 | 3.5 |